1.
Compound: Ce3ZrSe6
Source: Alexandria
Functional: GGA-PBE
Structure: optimized geometry

Output
For the energy above the most stable polymorph in this dataset, the calculation gives 0.19 eV per formula unit. The spin magnetization comes out at 0.405 μB per atom. As for the uncorrected formation energy: -1634 meV per atom. For the density of states at the Fermi level, the calculation gives 37.552 states/eV per cell.

a = 6.9354 Å, b = 7.7255 Å, c = 12.1277 Å
α = 90.00°, β = 122.19°, γ = 90.00°
Space group P2_1/c (No. 14)
Unique sites:
1 Ce 0.0000 0.0000 0.0000 [2 per cell]
2 Ce 0.3065 0.1138 0.7576 [4 per cell]
3 Zr 0.5000 0.0000 0.5000 [2 per cell]
4 Se 0.1077 0.0490 0.2634 [4 per cell]
5 Se 0.2480 0.6738 0.0740 [4 per cell]
6 Se 0.4115 0.1876 0.0693 [4 per cell]

---

2.
Compound: CeZrSe2
Source: Alexandria
Functional: GGA-PBE
Structure: optimized geometry

Output
For the energy above the most stable polymorph in this dataset, the calculation gives 0.53 eV per formula unit. The spin magnetization comes out at 0.265 μB per atom. As for the uncorrected formation energy: -1282 meV per atom. For the density of states at the Fermi level, the calculation gives 6.843 states/eV per cell.

a = 3.4706 Å, b = 3.4706 Å, c = 7.0677 Å
α = 90.00°, β = 90.00°, γ = 90.00°
Space group P4/mmm (No. 123)
Unique sites:
1 Ce 0.0000 0.0000 0.0000 [1 per cell]
2 Zr 0.0000 0.0000 0.5000 [1 per cell]
3 Se 0.5000 0.5000 0.2707 [2 per cell]

---

3.
Compound: Ce5Zr2Se12
Source: Alexandria
Functional: GGA-PBE
Structure: optimized geometry

Output
The spin magnetization comes out at 0.204 μB per atom. As for the uncorrected formation energy: -1624 meV per atom. For the density of states at the Fermi level, the calculation gives 65.855 states/eV per cell.

a = 16.3406 Å, b = 7.5196 Å, c = 9.3376 Å
α = 90.00°, β = 107.10°, γ = 90.00°
Space group C2/m (No. 12)
Unique sites:
1 Ce 0.0000 0.0000 0.0000 [2 per cell]
2 Ce 0.1850 0.5000 0.3372 [4 per cell]
3 Ce 0.2019 0.5000 0.8547 [4 per cell]
4 Zr 0.0000 0.2525 0.5000 [4 per cell]
5 Se 0.0042 0.5000 0.7159 [4 per cell]
6 Se 0.0051 0.0000 0.3058 [4 per cell]
7 Se 0.1491 0.2514 0.0674 [8 per cell]
8 Se 0.1716 0.2581 0.5909 [8 per cell]

---

4.
Compound: CeZr2Se4
Source: Alexandria
Functional: GGA-PBE
Structure: optimized geometry

Output
The spin magnetization comes out at 0.103 μB per atom. As for the uncorrected formation energy: -1409 meV per atom. For the density of states at the Fermi level, the calculation gives 36.814 states/eV per cell.

a = 3.8778 Å, b = 12.6703 Å, c = 13.5906 Å
α = 90.00°, β = 90.00°, γ = 90.00°
Space group Cmcm (No. 63)
Unique sites:
1 Ce 0.0000 0.1070 0.2500 [4 per cell]
2 Zr 0.0000 0.3513 0.0581 [8 per cell]
3 Se 0.0000 0.0000 0.0000 [4 per cell]
4 Se 0.0000 0.2772 0.6276 [8 per cell]
5 Se 0.0000 0.4367 0.2500 [4 per cell]

---

For reference, energy by record: -6.360 -6.645 -6.286 -6.690 eV/atom.